Record 1
# Pr12Cd6Ru GGA-PBE relaxed
# Crystal system   trigonal
# E_tot   -222.1 eV per cell
# ΔE_f   -102 meV/atom
# Total moment   0.0000 μB per atom
data_Pr12Cd6Ru
_chemical_formula_sum 'Pr36 Cd18 Ru3'
_cell_length_a 12.5630
_cell_length_b 12.5630
_cell_length_c 13.5844
_cell_angle_alpha 90.00
_cell_angle_beta 90.00
_cell_angle_gamma 120.00
_space_group_name_H-M_alt 'R -3'
_space_group_IT_number 148
_space_group_name_Hall '-R 3'
loop_
_atom_site_label
_atom_site_type_symbol
_atom_site_fract_x
_atom_site_fract_y
_atom_site_fract_z
_atom_site_occupancy
Pr1 Pr 0.0402 0.1893 0.3704 1
Pr2 Pr 0.0400 0.8501 0.8890 1
Cd1 Cd 0.0017 0.5986 0.7599 1
Ru1 Ru 0.0000 0.0000 0.5000 1

=====

Record 2
# TbCeAl GGA-PBE relaxed
# Crystal system   orthorhombic
# Excess energy over the best structure of this formula in the dataset   64 meV per atom
# E_tot   -59.1 eV per cell
# ΔE_f   -157 meV/atom
# Total moment   0.3538 μB per atom
data_TbCeAl
_chemical_formula_sum 'Tb4 Ce4 Al4'
_cell_length_a 5.135
_cell_length_b 6.727
_cell_length_c 8.987
_cell_angle_alpha 90.00
_cell_angle_beta 90.00
_cell_angle_gamma 90.00
_space_group_name_H-M_alt 'I m m m'
_space_group_IT_number 71
_space_group_name_Hall '-I 2 2'
loop_
_atom_site_label
_atom_site_type_symbol
_atom_site_fract_x
_atom_site_fract_y
_atom_site_fract_z
_atom_site_occupancy
Tb1 Tb 0.000 0.236 0.000 1
Ce1 Ce 0.000 0.000 0.341 1
Al1 Al 0.000 0.500 0.347 1

=====

Record 3
# Li2TcPt GGA-PBE relaxed
# Crystal system   trigonal
# Excess energy over the best structure of this formula in the dataset   8 meV per atom
# E_tot   -62.1 eV per cell
# ΔE_f   -119 meV/atom
# Total moment   0.2273 μB per atom
data_Li2TcPt
_chemical_formula_sum 'Li6 Tc3 Pt3'
_cell_length_a 2.7081
_cell_length_b 2.7081
_cell_length_c 27.0286
_cell_angle_alpha 90.00
_cell_angle_beta 90.00
_cell_angle_gamma 120.00
_space_group_name_H-M_alt 'R -3 m'
_space_group_IT_number 166
_space_group_name_Hall '-R 3 2"'
loop_
_atom_site_label
_atom_site_type_symbol
_atom_site_fract_x
_atom_site_fract_y
_atom_site_fract_z
_atom_site_occupancy
Li1 Li 0.0000 0.0000 0.2460 1
Tc1 Tc 0.0000 0.0000 0.0000 1
Pt1 Pt 0.0000 0.0000 0.5000 1

=====

Record 4
# NaPa2Te7 GGA-PBE relaxed
# Crystal system   orthorhombic
# E_tot   -95.6 eV per cell
# Formation energy from raw total energies   -5.50 eV per formula unit
# Total moment   0.0000 μB per atom
data_NaPa2Te7
_chemical_formula_sum 'Na2 Pa4 Te14'
_cell_length_a 9.351
_cell_length_b 14.276
_cell_length_c 5.870
_cell_angle_alpha 90.00
_cell_angle_beta 90.00
_cell_angle_gamma 90.00
_space_group_name_H-M_alt 'C m m m'
_space_group_IT_number 65
_space_group_name_Hall '-C 2 2'
loop_
_atom_site_label
_atom_site_type_symbol
_atom_site_fract_x
_atom_site_fract_y
_atom_site_fract_z
_atom_site_occupancy
Na1 Na 0.000 0.000 0.000 1
Pa1 Pa 0.000 0.290 0.500 1
Te1 Te 0.000 0.284 0.000 1
Te2 Te 0.000 0.500 0.500 1
Te3 Te 0.203 0.121 0.500 1

=====

Record 5
# Ca6TlAg5 GGA-PBE relaxed
# Crystal system   orthorhombic
# E_tot   -65.1 eV per cell
# ΔE_f   -328 meV/atom
# Total moment   0.0000 μB per atom
data_Ca6TlAg5
_chemical_formula_sum 'Ca12 Tl2 Ag10'
_cell_length_a 5.310
_cell_length_b 15.961
_cell_length_c 7.416
_cell_angle_alpha 90.00
_cell_angle_beta 90.00
_cell_angle_gamma 90.00
_space_group_name_H-M_alt 'C m m m'
_space_group_IT_number 65
_space_group_name_Hall '-C 2 2'
loop_
_atom_site_label
_atom_site_type_symbol
_atom_site_fract_x
_atom_site_fract_y
_atom_site_fract_z
_atom_site_occupancy
Ca1 Ca 0.000 0.000 0.246 1
Ca2 Ca 0.000 0.331 0.251 1
Tl1 Tl 0.000 0.500 0.500 1
Ag1 Ag 0.000 0.163 0.500 1
Ag2 Ag 0.000 0.166 0.000 1
Ag3 Ag 0.000 0.500 0.000 1

=====

Record 6
# ZrFePb2 GGA-PBE relaxed
# Crystal system   tetragonal
# Excess energy over the best structure of this formula in the dataset   155 meV per atom
# E_tot   -46.7 eV per cell
# ΔE_f   266 meV/atom
# Total moment   0.7186 μB per atom
data_ZrFePb2
_chemical_formula_sum 'Zr2 Fe2 Pb4'
_cell_length_a 4.220
_cell_length_b 4.220
_cell_length_c 9.952
_cell_angle_alpha 90.00
_cell_angle_beta 90.00
_cell_angle_gamma 90.00
_space_group_name_H-M_alt 'I -4 m 2'
_space_group_IT_number 119
_space_group_name_Hall 'I -4 -2'
loop_
_atom_site_label
_atom_site_type_symbol
_atom_site_fract_x
_atom_site_fract_y
_atom_site_fract_z
_atom_site_occupancy
Zr1 Zr 0.000 0.000 0.000 1
Fe1 Fe 0.000 0.500 0.750 1
Pb1 Pb 0.000 0.000 0.500 1
Pb2 Pb 0.000 0.500 0.250 1

=====

Record 7
# RbAl3V GGA-PBE relaxed
# Crystal system   cubic
# Excess energy over the best structure of this formula in the dataset   1684 meV per atom
# E_tot   -10.6 eV per cell
# ΔE_f   2141 meV/atom
# Total moment   0.8142 μB per atom
data_RbAl3V
_chemical_formula_sum 'Rb1 Al3 V1'
_cell_length_a 5.631
_cell_length_b 5.631
_cell_length_c 5.631
_cell_angle_alpha 90.00
_cell_angle_beta 90.00
_cell_angle_gamma 90.00
_space_group_name_H-M_alt 'P m -3 m'
_space_group_IT_number 221
_space_group_name_Hall '-P 4 2 3'
loop_
_atom_site_label
_atom_site_type_symbol
_atom_site_fract_x
_atom_site_fract_y
_atom_site_fract_z
_atom_site_occupancy
Rb1 Rb 0.000 0.000 0.000 1
Al1 Al 0.000 0.000 0.500 1
V1 V 0.500 0.500 0.500 1

=====

Record 8
# KSrCdBr5 GGA-PBE relaxed
# Crystal system   monoclinic
# E_tot   -97.7 eV per cell
# Formation energy from raw total energies   -12.37 eV per formula unit
# Total moment   0.0009 μB per atom
data_KSrCdBr5
_chemical_formula_sum 'K4 Sr4 Cd4 Br20'
_cell_length_a 9.865
_cell_length_b 13.091
_cell_length_c 10.872
_cell_angle_alpha 90.00
_cell_angle_beta 113.70
_cell_angle_gamma 90.00
_space_group_name_H-M_alt 'C 1 2/c 1'
_space_group_IT_number 15
loop_
_space_group_symop_operation_xyz
'x,y,z'
'-x,-y,-z'
'-x,y,-z+1/2'
'x,-y,z+1/2'
'x+1/2,y+1/2,z'
'-x+1/2,-y+1/2,-z'
'-x+1/2,y+1/2,-z+1/2'
'x+1/2,-y+1/2,z+1/2'
loop_
_atom_site_label
_atom_site_type_symbol
_atom_site_fract_x
_atom_site_fract_y
_atom_site_fract_z
_atom_site_occupancy
K1 K 0.000 0.154 0.250 1
Sr1 Sr 0.000 0.500 0.000 1
Cd1 Cd 0.000 0.181 0.750 1
Br1 Br 0.000 0.404 0.250 1
Br2 Br 0.132 0.291 0.628 1
Br3 Br 0.173 0.055 0.940 1

=====

Record 9
# PuTl2InCl8 GGA-PBE relaxed
# Crystal system   monoclinic
# E_tot   -52.5 eV per cell
# Formation energy from raw total energies   -15.89 eV per formula unit
# Total moment   0.4167 μB per atom
data_PuTl2InCl8
_chemical_formula_sum 'Pu1 Tl2 In1 Cl8'
_cell_length_a 6.740
_cell_length_b 8.332
_cell_length_c 7.183
_cell_angle_alpha 90.00
_cell_angle_beta 92.28
_cell_angle_gamma 90.00
_space_group_name_H-M_alt 'P 1 2/m 1'
_space_group_IT_number 10
loop_
_space_group_symop_operation_xyz
'x,y,z'
'-x,-y,-z'
'-x,y,-z'
'x,-y,z'
loop_
_atom_site_label
_atom_site_type_symbol
_atom_site_fract_x
_atom_site_fract_y
_atom_site_fract_z
_atom_site_occupancy
Pu1 Pu 0.000 0.000 0.000 1
Tl1 Tl 0.500 0.259 0.500 1
In1 In 0.000 0.500 0.000 1
Cl1 Cl 0.189 0.500 0.297 1
Cl2 Cl 0.220 0.260 0.878 1
Cl3 Cl 0.224 0.000 0.316 1